# 1
AcCdSbO PBE relaxed; formation energy (no corrections) = -1725 meV/atom; uncorrected energy = -5.25 eV per atom
1.0
4.464 0.000 0.000
0.000 4.464 0.000
0.000 0.000 9.998
Ac Cd Sb O
2 2 2 2
direct
0.250 0.250 0.118
0.750 0.750 0.882
0.250 0.750 0.500
0.750 0.250 0.500
0.250 0.250 0.692
0.750 0.750 0.308
0.250 0.750 0.000
0.750 0.250 0.000

***

# 2
Tc3Br PBE relaxed; formation energy (no corrections) = 548 meV/atom; uncorrected energy = -7.64 eV per atom; polymorph energy (0 for the lowest one) = 38.5 meV/atom
1.0
2.962 0.000 0.000
0.000 2.962 0.000
0.000 0.000 7.086
Tc Br
3 1
direct
0.000 0.000 0.000
0.500 0.500 0.238
0.500 0.500 0.762
0.000 0.000 0.500

***

# 3
La9In3Ga2 PBE relaxed; formation energy = -2.87 eV per formula unit; uncorrected energy = -4.39 eV per atom
1.0
6.518 -7.172 0.000
6.518 7.172 0.000
-0.013 0.000 4.954
La In Ga
9 3 2
direct
0.000 0.000 0.000
0.079 0.653 0.999
0.233 0.470 0.499
0.347 0.921 0.001
0.470 0.233 0.499
0.530 0.767 0.501
0.653 0.079 0.999
0.767 0.530 0.501
0.921 0.347 0.001
0.253 0.253 0.998
0.500 0.500 0.000
0.747 0.747 0.002
0.169 0.831 0.500
0.831 0.169 0.500

***

# 4
PmPrHf PBE relaxed; formation energy = 0.48 eV per formula unit; uncorrected energy = -6.33 eV per atom; polymorph energy (0 for the lowest one) = 0.0 meV/atom
1.0
3.822 0.000 0.000
0.000 3.822 0.000
0.000 0.000 12.848
Pm Pr Hf
2 2 2
direct
0.250 0.250 0.094
0.750 0.750 0.906
0.250 0.250 0.706
0.750 0.750 0.294
0.250 0.250 0.450
0.750 0.750 0.550

***

# 5
La6Ir2OsCl2 PBE relaxed; formation energy (no corrections) = -981 meV/atom; uncorrected energy = -6.64 eV per atom
1.0
3.647 -6.343 0.000
3.647 6.343 0.000
-2.423 0.000 7.388
La Ir Os Cl
6 2 1 2
direct
0.067 0.398 0.207
0.258 0.258 0.794
0.398 0.067 0.207
0.602 0.933 0.793
0.742 0.742 0.206
0.933 0.602 0.793
0.331 0.669 0.000
0.669 0.331 0.000
0.000 0.000 0.000
0.165 0.835 0.500
0.835 0.165 0.500

***

# 6
Sr3CaMg4 PBE relaxed; formation energy = -0.46 eV per formula unit; uncorrected energy = -1.74 eV per atom
1.0
4.113 0.000 0.000
0.000 4.113 0.000
0.000 0.000 16.613
Sr Ca Mg
3 1 4
direct
0.000 0.000 0.000
0.000 0.000 0.259
0.000 0.000 0.741
0.000 0.000 0.500
0.500 0.500 0.130
0.500 0.500 0.389
0.500 0.500 0.611
0.500 0.500 0.870

***

It is found that the calculated volume values, taken in the order of the records, are 199.2, 62.2, 463.2, 187.7, 341.8, 281.0 Å³ per cell.